No. 1
A plane-wave DFT calculation with GGA-PBE was carried out for a geometry-optimized HI3Br structure.

a b c (Å): 4.6737 10.4692 10.9810
angles (deg): 53.58 90.04 90.07
Closest atoms and distances in Å follow each position.
Atoms (fractional coordinates):
H 0.5988 0.7114 0.2060  1 I 1.68
H 0.0995 0.6416 0.8924  1 I 1.68
I 0.7149 0.4053 0.7611  1 I 2.84
I 0.6715 0.9062 0.0840  1 H 1.68
I 0.1247 0.4205 0.5625  1 Br 2.73, 1 I 2.84
I 0.2157 0.9471 0.3375  1 I 2.84
I 0.1719 0.4469 0.0142  1 H 1.68
I 0.6260 0.9320 0.5361  1 Br 2.73, 1 I 2.84
Br 0.5096 0.4453 0.3619  1 H 2.28
Br 0.0112 0.9076 0.7366  1 H 2.28

## Properties
The energy relative to the lowest polymorph listed for this composition is 0.00 kcal/mol of atoms. The space group is P1, No. 1. The electronic total energy comes out at -18.91 eV per cell.



No. 2
A plane-wave DFT calculation with GGA-PBE was carried out for a geometry-optimized HfV5Tc6 structure.

a b c (Å): 4.3232 6.1524 7.5226
angles (deg): 114.14 106.70 90.00
Closest atoms and distances in Å follow each position.
Atoms (fractional coordinates):
Hf 0.0000 0.0000 0.0000  8 Tc 2.69-2.72
Tc 0.8294 0.5746 0.6588  7 V 2.56-2.69, 1 Hf 2.72
Tc 0.8294 0.0842 0.6588  7 V 2.56-2.69, 1 Hf 2.72
Tc 0.5000 0.7394 0.0000  6 V 2.61-2.75, 2 Hf 2.69
Tc 0.5000 0.2606 0.0000  6 V 2.61-2.75, 2 Hf 2.69
Tc 0.1706 0.9158 0.3412  7 V 2.56-2.69, 1 Hf 2.72
Tc 0.1706 0.4254 0.3412  7 V 2.56-2.69, 1 Hf 2.72
V 0.6710 0.1710 0.3420  8 Tc 2.56-2.75
V 0.3343 0.3343 0.6686  8 Tc 2.61-2.65
V 0.0000 0.5000 0.0000  8 Tc 2.62-2.69
V 0.6657 0.6657 0.3314  8 Tc 2.61-2.65
V 0.3290 0.8290 0.6580  8 Tc 2.56-2.75

## Properties
For the energy relative to the elements, the calculation gives -0.36 eV/atom. The space group is Immm, No. 71. The electronic total energy comes out at -122.08 eV per cell.



Q: Which of these has the lowest electronic total energy?
A: HfV5Tc6



Q: The highest electronic total energy belongs to which entry?
A: HI3Br